# 1
Material: CrBIN2
Method: DFT, PBE
State: relaxed

Properties
- polymorph energy (0 for the lowest one) (kJ/mol of atoms) = 0.0
- raw formation energy (eV per atom) = 1.27

The structure in extended XYZ format:
```
5
Lattice="3.655 0.000 0.000 0.000 3.655 0.000 0.000 0.000 5.605" Properties=species:S:1:pos:R:3 pbc="T T T"
Cr 0.000 0.000 0.000
B 1.828 1.828 2.802
I 0.000 0.000 2.802
N 0.000 1.828 0.000
N 1.828 0.000 0.000
```

=====

# 2
Material: NdEr4Sn4
Method: DFT, PBE
State: relaxed

Properties
- energy relative to the elements (eV/atom) = -0.410

The structure in extended XYZ format:
```
18
Lattice="9.846 0.000 0.000 0.000 9.846 0.000 0.000 0.000 6.084" Properties=species:S:1:pos:R:3 pbc="T T T"
Nd 2.461 2.461 1.521
Nd 7.384 7.384 4.563
Er 0.976 6.353 0.866
Er 1.430 8.869 3.908
Er 3.493 5.899 3.908
Er 3.946 8.416 0.866
Er 5.899 1.430 5.218
Er 6.353 3.946 2.176
Er 8.416 0.976 2.176
Er 8.869 3.493 5.218
Sn 0.395 5.998 3.976
Sn 1.075 9.451 0.935
Sn 3.847 5.317 0.935
Sn 4.528 8.770 3.976
Sn 5.317 1.075 2.107
Sn 5.998 4.528 5.149
Sn 8.770 0.395 5.149
Sn 9.451 3.847 2.107
```

=====

# 3
Material: VSbHI2
Method: DFT, PBE
State: relaxed

Properties
- polymorph energy (0 for the lowest one) (kJ/mol of atoms) = 23.4

The structure in extended XYZ format:
```
5
Lattice="5.427 0.000 0.000 0.000 5.427 0.000 0.000 0.000 3.907" Properties=species:S:1:pos:R:3 pbc="T T T"
V 0.000 0.000 0.000
Sb 2.714 2.714 0.000
H 2.714 2.714 1.953
I 0.000 2.714 1.953
I 2.714 0.000 1.953
```

=====

# 4
Material: TiCdF6
Method: DFT, PBE
State: relaxed

Properties
- raw formation energy (eV per atom) = -2.96

The structure in extended XYZ format:
```
16
Lattice="5.313 0.000 0.000 -2.657 4.601 0.000 0.000 0.000 9.845" Properties=species:S:1:pos:R:3 pbc="T T T"
Ti 0.000 0.000 0.000
Ti 0.000 0.000 4.923
Cd 0.000 3.068 2.461
Cd 2.657 1.534 7.384
F -0.667 1.391 1.098
F -1.785 3.329 3.825
F 0.667 1.391 3.825
F -1.119 4.483 1.098
F 1.538 0.118 6.021
F 0.871 1.273 8.747
F 1.785 3.329 1.098
F 1.119 4.483 3.825
F 3.775 0.118 8.747
F 1.990 3.211 6.021
F 4.442 1.273 6.021
F 3.323 3.211 8.747
```

=====

Asked for N(E_F) across the records above, the calculation gives 2.3 17.2 6.1 0.0 states/eV per cell in order.